(1)
# Pr3ThZn8, optimized geometry, DFT PBE
data_Pr3ThZn8
_chemical_formula_sum 'Pr3 Th1 Zn8'
_space_group_name_H-M_alt 'P 3 m 1'
_space_group_IT_number 156
_space_group_name_Hall 'P 3 -2"'
_cell_length_a 5.6893
_cell_length_b 5.6893
_cell_length_c 8.8766
_cell_angle_alpha 90.00
_cell_angle_beta 90.00
_cell_angle_gamma 120.00
loop_
_atom_site_label
_atom_site_type_symbol
_atom_site_fract_x
_atom_site_fract_y
_atom_site_fract_z
Pr1 Pr 0.0000 0.0000 0.0000
Pr2 Pr 0.0000 0.0000 0.3799
Pr3 Pr 0.3333 0.6667 0.8979
Th1 Th 0.3333 0.6667 0.5202
Zn1 Zn 0.0027 0.5014 0.2037
Zn2 Zn 0.3325 0.1662 0.6975
Zn3 Zn 0.6667 0.3333 0.4504
Zn4 Zn 0.6667 0.3333 0.9507
# Crystal system = trigonal



(2)
# Pr12Th3Zn5, optimized geometry, DFT PBE
data_Pr12Th3Zn5
_chemical_formula_sum 'Pr96 Th24 Zn40'
_space_group_name_H-M_alt 'I a -3 d'
_space_group_IT_number 230
_space_group_name_Hall '-I 4bd 2c 3'
_cell_length_a 18.2520
_cell_length_b 18.2520
_cell_length_c 18.2520
_cell_angle_alpha 90.00
_cell_angle_beta 90.00
_cell_angle_gamma 90.00
loop_
_atom_site_label
_atom_site_type_symbol
_atom_site_fract_x
_atom_site_fract_y
_atom_site_fract_z
Pr1 Pr 0.0245 0.0682 0.6471
Th1 Th 0.0000 0.2500 0.1250
Zn1 Zn 0.0000 0.0000 0.0000
Zn2 Zn 0.0000 0.2500 0.3750
# Crystal system = cubic



(3)
# PrTh2Zn, optimized geometry, DFT PBE
data_PrTh2Zn
_chemical_formula_sum 'Pr1 Th2 Zn1'
_space_group_name_H-M_alt 'P 4/m m m'
_space_group_IT_number 123
_space_group_name_Hall '-P 4 2'
_cell_length_a 3.6853
_cell_length_b 3.6853
_cell_length_c 8.7347
_cell_angle_alpha 90.00
_cell_angle_beta 90.00
_cell_angle_gamma 90.00
loop_
_atom_site_label
_atom_site_type_symbol
_atom_site_fract_x
_atom_site_fract_y
_atom_site_fract_z
Pr1 Pr 0.0000 0.0000 0.0000
Th1 Th 0.5000 0.5000 0.2973
Zn1 Zn 0.0000 0.0000 0.5000
# Crystal system = tetragonal
# Distance to the lowest polymorph of the same formula = 0 meV/atom



(4)
# PrThZn4, optimized geometry, DFT PBE
data_PrThZn4
_chemical_formula_sum 'Pr4 Th4 Zn16'
_space_group_name_H-M_alt 'F -4 3 m'
_space_group_IT_number 216
_space_group_name_Hall 'F -4 2 3'
_cell_length_a 7.8973
_cell_length_b 7.8973
_cell_length_c 7.8973
_cell_angle_alpha 90.00
_cell_angle_beta 90.00
_cell_angle_gamma 90.00
loop_
_atom_site_label
_atom_site_type_symbol
_atom_site_fract_x
_atom_site_fract_y
_atom_site_fract_z
Pr1 Pr 0.0000 0.0000 0.0000
Th1 Th 0.2500 0.2500 0.7500
Zn1 Zn 0.1256 0.1256 0.3744
# Crystal system = cubic
# Distance to the lowest polymorph of the same formula = 0 meV/atom



(5)
# PrTh2Zn9, optimized geometry, DFT PBE
data_PrTh2Zn9
_chemical_formula_sum 'Pr3 Th6 Zn27'
_space_group_name_H-M_alt 'R -3 m'
_space_group_IT_number 166
_space_group_name_Hall '-R 3 2"'
_cell_length_a 5.5284
_cell_length_b 5.5284
_cell_length_c 26.4378
_cell_angle_alpha 90.00
_cell_angle_beta 90.00
_cell_angle_gamma 120.00
loop_
_atom_site_label
_atom_site_type_symbol
_atom_site_fract_x
_atom_site_fract_y
_atom_site_fract_z
Pr1 Pr 0.0000 0.0000 0.0000
Th1 Th 0.0000 0.0000 0.1447
Zn1 Zn 0.0000 0.0000 0.3354
Zn2 Zn 0.0000 0.0000 0.5000
Zn3 Zn 0.0061 0.5030 0.9192
# Crystal system = trigonal



(6)
# Pr4ThZn, optimized geometry, DFT PBE
data_Pr4ThZn
_chemical_formula_sum 'Pr4 Th1 Zn1'
_space_group_name_H-M_alt 'P 4/m m m'
_space_group_IT_number 123
_space_group_name_Hall '-P 4 2'
_cell_length_a 3.6975
_cell_length_b 3.6975
_cell_length_c 14.1292
_cell_angle_alpha 90.00
_cell_angle_beta 90.00
_cell_angle_gamma 90.00
loop_
_atom_site_label
_atom_site_type_symbol
_atom_site_fract_x
_atom_site_fract_y
_atom_site_fract_z
Pr1 Pr 0.0000 0.0000 0.1294
Pr2 Pr 0.5000 0.5000 0.3271
Th1 Th 0.0000 0.0000 0.5000
Zn1 Zn 0.5000 0.5000 0.0000
# Crystal system = tetragonal



(7)
# Pr5ThZn4, optimized geometry, DFT PBE
data_Pr5ThZn4
_chemical_formula_sum 'Pr5 Th1 Zn4'
_space_group_name_H-M_alt 'P 4/m m m'
_space_group_IT_number 123
_space_group_name_Hall '-P 4 2'
_cell_length_a 3.6894
_cell_length_b 3.6894
_cell_length_c 20.0122
_cell_angle_alpha 90.00
_cell_angle_beta 90.00
_cell_angle_gamma 90.00
loop_
_atom_site_label
_atom_site_type_symbol
_atom_site_fract_x
_atom_site_fract_y
_atom_site_fract_z
Pr1 Pr 0.0000 0.0000 0.0000
Pr2 Pr 0.0000 0.0000 0.1860
Pr3 Pr 0.0000 0.0000 0.3753
Th1 Th 0.5000 0.5000 0.5000
Zn1 Zn 0.5000 0.5000 0.0931
Zn2 Zn 0.5000 0.5000 0.2810
# Crystal system = tetragonal



(8)
# Pr3ThZn2, optimized geometry, DFT PBE
data_Pr3ThZn2
_chemical_formula_sum 'Pr3 Th1 Zn2'
_space_group_name_H-M_alt 'P 4/m m m'
_space_group_IT_number 123
_space_group_name_Hall '-P 4 2'
_cell_length_a 3.6731
_cell_length_b 3.6731
_cell_length_c 12.5669
_cell_angle_alpha 90.00
_cell_angle_beta 90.00
_cell_angle_gamma 90.00
loop_
_atom_site_label
_atom_site_type_symbol
_atom_site_fract_x
_atom_site_fract_y
_atom_site_fract_z
Pr1 Pr 0.0000 0.0000 0.0000
Pr2 Pr 0.0000 0.0000 0.3001
Th1 Th 0.5000 0.5000 0.5000
Zn1 Zn 0.5000 0.5000 0.1497
# Crystal system = tetragonal



(9)
# PrTh2Zr, optimized geometry, DFT PBE
data_PrTh2Zr
_chemical_formula_sum 'Pr3 Th6 Zr3'
_space_group_name_H-M_alt 'R 3 m'
_space_group_IT_number 160
_space_group_name_Hall 'R 3 -2"'
_cell_length_a 3.5087
_cell_length_b 3.5087
_cell_length_c 34.3714
_cell_angle_alpha 90.00
_cell_angle_beta 90.00
_cell_angle_gamma 120.00
loop_
_atom_site_label
_atom_site_type_symbol
_atom_site_fract_x
_atom_site_fract_y
_atom_site_fract_z
Pr1 Pr 0.0000 0.0000 0.0000
Th1 Th 0.0000 0.0000 0.5805
Th2 Th 0.0000 0.0000 0.7567
Zr1 Zr 0.0000 0.0000 0.1695
# Crystal system = trigonal
# Distance to the lowest polymorph of the same formula = 19 meV/atom



(10)
# Pr2ThZr, optimized geometry, DFT PBE
data_Pr2ThZr
_chemical_formula_sum 'Pr2 Th1 Zr1'
_space_group_name_H-M_alt 'P 4/m m m'
_space_group_IT_number 123
_space_group_name_Hall '-P 4 2'
_cell_length_a 4.9185
_cell_length_b 4.9185
_cell_length_c 5.1720
_cell_angle_alpha 90.00
_cell_angle_beta 90.00
_cell_angle_gamma 90.00
loop_
_atom_site_label
_atom_site_type_symbol
_atom_site_fract_x
_atom_site_fract_y
_atom_site_fract_z
Pr1 Pr 0.0000 0.5000 0.0000
Th1 Th 0.0000 0.0000 0.5000
Zr1 Zr 0.5000 0.5000 0.5000
# Crystal system = tetragonal
# Distance to the lowest polymorph of the same formula = 0 meV/atom



(11)
# Pr2ThZr, optimized geometry, DFT PBE
data_Pr2ThZr
_chemical_formula_sum 'Pr6 Th3 Zr3'
_space_group_name_H-M_alt 'R 3 m'
_space_group_IT_number 160
_space_group_name_Hall 'R 3 -2"'
_cell_length_a 3.5210
_cell_length_b 3.5210
_cell_length_c 34.9215
_cell_angle_alpha 90.00
_cell_angle_beta 90.00
_cell_angle_gamma 120.00
loop_
_atom_site_label
_atom_site_type_symbol
_atom_site_fract_x
_atom_site_fract_y
_atom_site_fract_z
Pr1 Pr 0.0000 0.0000 0.0000
Pr2 Pr 0.0000 0.0000 0.1772
Th1 Th 0.0000 0.0000 0.4226
Zr1 Zr 0.0000 0.0000 0.5892
# Crystal system = trigonal
# Distance to the lowest polymorph of the same formula = 1 meV/atom



(12)
# PrThZr, optimized geometry, DFT PBE
data_PrThZr
_chemical_formula_sum 'Pr2 Th2 Zr2'
_space_group_name_H-M_alt 'P 4/n m m'
_space_group_IT_number 129
_cell_length_a 3.7637
_cell_length_b 3.7637
_cell_length_c 12.8631
_cell_angle_alpha 90.00
_cell_angle_beta 90.00
_cell_angle_gamma 90.00
loop_
_space_group_symop_operation_xyz
'x,y,z'
'-x,-y,-z'
'-y+1/2,x,z'
'y+1/2,-x,-z'
'-x+1/2,-y+1/2,z'
'x+1/2,y+1/2,-z'
'y,-x+1/2,z'
'-y,x+1/2,-z'
'x+1/2,-y,-z'
'-x+1/2,y,z'
'-y,-x,-z'
'y,x,z'
'-x,y+1/2,-z'
'x,-y+1/2,z'
'y+1/2,x+1/2,-z'
'-y+1/2,-x+1/2,z'
loop_
_atom_site_label
_atom_site_type_symbol
_atom_site_fract_x
_atom_site_fract_y
_atom_site_fract_z
Pr1 Pr 0.2500 0.2500 0.2179
Th1 Th 0.2500 0.2500 0.5892
Zr1 Zr 0.2500 0.2500 0.9507
# Crystal system = tetragonal
# Distance to the lowest polymorph of the same formula = 12 meV/atom



(13)
# PrThZr2, optimized geometry, DFT PBE
data_PrThZr2
_chemical_formula_sum 'Pr1 Th1 Zr2'
_space_group_name_H-M_alt 'P 4/m m m'
_space_group_IT_number 123
_space_group_name_Hall '-P 4 2'
_cell_length_a 3.9956
_cell_length_b 3.9956
_cell_length_c 7.1782
_cell_angle_alpha 90.00
_cell_angle_beta 90.00
_cell_angle_gamma 90.00
loop_
_atom_site_label
_atom_site_type_symbol
_atom_site_fract_x
_atom_site_fract_y
_atom_site_fract_z
Pr1 Pr 0.0000 0.0000 0.0000
Th1 Th 0.0000 0.0000 0.5000
Zr1 Zr 0.5000 0.5000 0.2879
# Crystal system = tetragonal
# Distance to the lowest polymorph of the same formula = 0 meV/atom



(14)
# Pr2ThZr, optimized geometry, DFT PBE
data_Pr2ThZr
_chemical_formula_sum 'Pr6 Th3 Zr3'
_space_group_name_H-M_alt 'R -3 m'
_space_group_IT_number 166
_space_group_name_Hall '-R 3 2"'
_cell_length_a 3.4692
_cell_length_b 3.4692
_cell_length_c 36.4568
_cell_angle_alpha 90.00
_cell_angle_beta 90.00
_cell_angle_gamma 120.00
loop_
_atom_site_label
_atom_site_type_symbol
_atom_site_fract_x
_atom_site_fract_y
_atom_site_fract_z
Pr1 Pr 0.0000 0.0000 0.0863
Th1 Th 0.0000 0.0000 0.5000
Zr1 Zr 0.0000 0.0000 0.0000
# Crystal system = trigonal
# Distance to the lowest polymorph of the same formula = 172 meV/atom



(15)
# PrThZr2, optimized geometry, DFT PBE
data_PrThZr2
_chemical_formula_sum 'Pr1 Th1 Zr2'
_space_group_name_H-M_alt 'P 4/m m m'
_space_group_IT_number 123
_space_group_name_Hall '-P 4 2'
_cell_length_a 4.7985
_cell_length_b 4.7985
_cell_length_c 4.8634
_cell_angle_alpha 90.00
_cell_angle_beta 90.00
_cell_angle_gamma 90.00
loop_
_atom_site_label
_atom_site_type_symbol
_atom_site_fract_x
_atom_site_fract_y
_atom_site_fract_z
Pr1 Pr 0.0000 0.0000 0.0000
Th1 Th 0.5000 0.5000 0.0000
Zr1 Zr 0.0000 0.5000 0.5000
# Crystal system = tetragonal
# Distance to the lowest polymorph of the same formula = 47 meV/atom



(16)
# PrThZr, optimized geometry, DFT PBE
data_PrThZr
_chemical_formula_sum 'Pr2 Th2 Zr2'
_space_group_name_H-M_alt 'I 4 m m'
_space_group_IT_number 107
_space_group_name_Hall 'I 4 -2'
_cell_length_a 3.4558
_cell_length_b 3.4558
_cell_length_c 15.0516
_cell_angle_alpha 90.00
_cell_angle_beta 90.00
_cell_angle_gamma 90.00
loop_
_atom_site_label
_atom_site_type_symbol
_atom_site_fract_x
_atom_site_fract_y
_atom_site_fract_z
Pr1 Pr 0.0000 0.0000 0.0000
Th1 Th 0.0000 0.0000 0.6813
Zr1 Zr 0.0000 0.0000 0.3342
# Crystal system = tetragonal
# Distance to the lowest polymorph of the same formula = 0 meV/atom



(17)
# PrTh2Zr, optimized geometry, DFT PBE
data_PrTh2Zr
_chemical_formula_sum 'Pr1 Th2 Zr1'
_space_group_name_H-M_alt 'P 4/m m m'
_space_group_IT_number 123
_space_group_name_Hall '-P 4 2'
_cell_length_a 3.5079
_cell_length_b 3.5079
_cell_length_c 9.9770
_cell_angle_alpha 90.00
_cell_angle_beta 90.00
_cell_angle_gamma 90.00
loop_
_atom_site_label
_atom_site_type_symbol
_atom_site_fract_x
_atom_site_fract_y
_atom_site_fract_z
Pr1 Pr 0.0000 0.0000 0.0000
Th1 Th 0.5000 0.5000 0.2687
Zr1 Zr 0.0000 0.0000 0.5000
# Crystal system = tetragonal
# Distance to the lowest polymorph of the same formula = 0 meV/atom



(18)
# PrTh2Zr, optimized geometry, DFT PBE
data_PrTh2Zr
_chemical_formula_sum 'Pr3 Th6 Zr3'
_space_group_name_H-M_alt 'R -3 m'
_space_group_IT_number 166
_space_group_name_Hall '-R 3 2"'
_cell_length_a 3.4279
_cell_length_b 3.4279
_cell_length_c 36.5294
_cell_angle_alpha 90.00
_cell_angle_beta 90.00
_cell_angle_gamma 120.00
loop_
_atom_site_label
_atom_site_type_symbol
_atom_site_fract_x
_atom_site_fract_y
_atom_site_fract_z
Pr1 Pr 0.0000 0.0000 0.0000
Th1 Th 0.0000 0.0000 0.0911
Zr1 Zr 0.0000 0.0000 0.5000
# Crystal system = trigonal
# Distance to the lowest polymorph of the same formula = 131 meV/atom



(19)
# PrTh2Zr, optimized geometry, DFT PBE
data_PrTh2Zr
_chemical_formula_sum 'Pr4 Th8 Zr4'
_space_group_name_H-M_alt 'F m -3 m'
_space_group_IT_number 225
_space_group_name_Hall '-F 4 2 3'
_cell_length_a 7.8433
_cell_length_b 7.8433
_cell_length_c 7.8433
_cell_angle_alpha 90.00
_cell_angle_beta 90.00
_cell_angle_gamma 90.00
loop_
_atom_site_label
_atom_site_type_symbol
_atom_site_fract_x
_atom_site_fract_y
_atom_site_fract_z
Pr1 Pr 0.0000 0.0000 0.0000
Th1 Th 0.2500 0.2500 0.2500
Zr1 Zr 0.0000 0.0000 0.5000
# Crystal system = cubic
# Distance to the lowest polymorph of the same formula = 82 meV/atom



(20)
# PrThZr, optimized geometry, DFT PBE
data_PrThZr
_chemical_formula_sum 'Pr1 Th1 Zr1'
_space_group_name_H-M_alt 'P 3 m 1'
_space_group_IT_number 156
_space_group_name_Hall 'P 3 -2"'
_cell_length_a 3.4906
_cell_length_b 3.4906
_cell_length_c 8.4610
_cell_angle_alpha 90.00
_cell_angle_beta 90.00
_cell_angle_gamma 120.00
loop_
_atom_site_label
_atom_site_type_symbol
_atom_site_fract_x
_atom_site_fract_y
_atom_site_fract_z
Pr1 Pr 0.0000 0.0000 0.0000
Th1 Th 0.3333 0.6667 0.6489
Zr1 Zr 0.6667 0.3333 0.3385
# Crystal system = trigonal
# Distance to the lowest polymorph of the same formula = 9 meV/atom



(21)
# PrTh2Zr, optimized geometry, DFT PBE
data_PrTh2Zr
_chemical_formula_sum 'Pr1 Th2 Zr1'
_space_group_name_H-M_alt 'P 4/m m m'
_space_group_IT_number 123
_space_group_name_Hall '-P 4 2'
_cell_length_a 4.9642
_cell_length_b 4.9642
_cell_length_c 4.9763
_cell_angle_alpha 90.00
_cell_angle_beta 90.00
_cell_angle_gamma 90.00
loop_
_atom_site_label
_atom_site_type_symbol
_atom_site_fract_x
_atom_site_fract_y
_atom_site_fract_z
Pr1 Pr 0.0000 0.0000 0.0000
Th1 Th 0.0000 0.5000 0.5000
Zr1 Zr 0.5000 0.5000 0.0000
# Crystal system = tetragonal
# Distance to the lowest polymorph of the same formula = 49 meV/atom



(22)
# Pr5Ti, optimized geometry, DFT PBE
data_Pr5Ti
_chemical_formula_sum 'Pr10 Ti2'
_space_group_name_H-M_alt 'C m m m'
_space_group_IT_number 65
_space_group_name_Hall '-C 2 2'
_cell_length_a 5.0248
_cell_length_b 15.3914
_cell_length_c 5.0410
_cell_angle_alpha 90.00
_cell_angle_beta 90.00
_cell_angle_gamma 90.00
loop_
_atom_site_label
_atom_site_type_symbol
_atom_site_fract_x
_atom_site_fract_y
_atom_site_fract_z
Pr1 Pr 0.0000 0.0000 0.0000
Pr2 Pr 0.0000 0.1576 0.5000
Pr3 Pr 0.0000 0.3413 0.0000
Ti1 Ti 0.0000 0.5000 0.5000
# Crystal system = orthorhombic



(23)
# Pr4Ti, optimized geometry, DFT PBE
data_Pr4Ti
_chemical_formula_sum 'Pr4 Ti1'
_space_group_name_H-M_alt 'P m -3 m'
_space_group_IT_number 221
_space_group_name_Hall '-P 4 2 3'
_cell_length_a 5.6369
_cell_length_b 5.6369
_cell_length_c 5.6369
_cell_angle_alpha 90.00
_cell_angle_beta 90.00
_cell_angle_gamma 90.00
loop_
_atom_site_label
_atom_site_type_symbol
_atom_site_fract_x
_atom_site_fract_y
_atom_site_fract_z
Pr1 Pr 0.0000 0.0000 0.0000
Pr2 Pr 0.0000 0.5000 0.5000
Ti1 Ti 0.5000 0.5000 0.5000
# Crystal system = cubic



(24)
# PrTi6, optimized geometry, DFT PBE
data_PrTi6
_chemical_formula_sum 'Pr2 Ti12'
_space_group_name_H-M_alt 'I m -3 m'
_space_group_IT_number 229
_space_group_name_Hall '-I 4 2 3'
_cell_length_a 6.9916
_cell_length_b 6.9916
_cell_length_c 6.9916
_cell_angle_alpha 90.00
_cell_angle_beta 90.00
_cell_angle_gamma 90.00
loop_
_atom_site_label
_atom_site_type_symbol
_atom_site_fract_x
_atom_site_fract_y
_atom_site_fract_z
Pr1 Pr 0.0000 0.0000 0.0000
Ti1 Ti 0.0000 0.2500 0.5000
# Crystal system = cubic



no.,energy of formation (eV per atom),raw total energy (eV per atom),total moment (μB/f.u.)
1,-0.27,-2.93,0.00
2,0.48,-3.82,0.00
3,-0.01,-5.24,0.00
4,-0.27,-3.15,0.00
5,-0.26,-2.85,0.00
6,-0.08,-4.71,0.00
7,-0.23,-3.87,0.00
8,-0.19,-4.24,0.01
9,0.13,-6.91,0.00
10,0.17,-6.21,0.00
11,0.17,-6.21,0.00
12,0.14,-6.77,0.00
13,0.14,-7.18,0.00
14,0.35,-6.04,0.00
15,0.19,-7.13,0.00
16,0.13,-6.78,0.00
17,0.11,-6.93,0.00
18,0.24,-6.80,0.00
19,0.19,-6.85,0.00
20,0.14,-6.78,0.00
21,0.16,-6.88,0.00
22,0.18,-5.12,0.55
23,0.45,-4.95,0.00
24,1.32,-6.13,7.16